A plane-wave DFT calculation with PBE with a Hubbard U was carried out for a geometry-optimized PmNi2IrO8 structure.

The structure belongs to space group P2/m (No. 10); the cell edges are 4.5549, 6.6093 and 4.7315 Å and the angles 90.00°, 90.35° and 90.00°. The inequivalent atoms are Pm at (0.0000, 0.0000, 0.0000), Ni at (0.5000, 0.2627, 0.5000), Ir at (0.0000, 0.5000, 0.0000), O at (0.2338, 0.2915, 0.8374), O at (0.2569, 0.5000, 0.3186) and O at (0.2857, 0.0000, 0.3974).

The raw total energy is -5.959 eV/atom.